# Ca2MgAg, relaxed, DFT PBE
data_Ca2MgAg
_chemical_formula_sum 'Ca4 Mg2 Ag2'
_symmetry_space_group_name_H-M 'P 1'
_symmetry_Int_Tables_number 1
_symmetry_space_group_name_Hall 'P 1'
_cell_length_a 6.962
_cell_length_b 6.962
_cell_length_c 6.962
_cell_angle_alpha 103.67
_cell_angle_beta 103.67
_cell_angle_gamma 121.83
loop_
_atom_site_label
_atom_site_type_symbol
_atom_site_fract_x
_atom_site_fract_y
_atom_site_fract_z
_atom_site_occupancy
Ca1 Ca 0.086 0.625 0.961 1
Ca2 Ca 0.375 0.336 0.461 1
Ca3 Ca 0.664 0.125 0.039 1
Ca4 Ca 0.875 0.914 0.539 1
Mg1 Mg 0.250 0.750 0.500 1
Mg2 Mg 0.500 0.500 0.000 1
Ag1 Ag 0.000 0.000 0.000 1
Ag2 Ag 0.750 0.250 0.500 1
# **Calculated density**: 2.815 g cm⁻³
# **Symmetry**: No. 122
# **E_tot**: -16.40 eV/cell
# **Calculated volume**: 250.54 Å³/cell

***

# Ca2MgAg, relaxed, DFT PBE
data_Ca2MgAg
_chemical_formula_sum 'Ca2 Mg1 Ag1'
_symmetry_space_group_name_H-M 'P 1'
_symmetry_Int_Tables_number 1
_symmetry_space_group_name_Hall 'P 1'
_cell_length_a 3.820
_cell_length_b 3.769
_cell_length_c 7.834
_cell_angle_alpha 90.00
_cell_angle_beta 90.22
_cell_angle_gamma 90.00
loop_
_atom_site_label
_atom_site_type_symbol
_atom_site_fract_x
_atom_site_fract_y
_atom_site_fract_z
_atom_site_occupancy
Ca1 Ca 0.000 0.000 0.230 1
Ca2 Ca 0.000 0.000 0.770 1
Mg1 Mg 0.500 0.500 0.500 1
Ag1 Ag 0.500 0.500 0.000 1
# **Calculated density**: 3.126 g cm⁻³
# **Symmetry**: No. 10
# **E_tot**: -9.23 eV/cell
# **Calculated volume**: 112.80 Å³/cell

***

# Ca3Mg2Ag, relaxed, DFT PBE
data_Ca3Mg2Ag
_chemical_formula_sum 'Ca3 Mg2 Ag1'
_symmetry_space_group_name_H-M 'P 1'
_symmetry_Int_Tables_number 1
_symmetry_space_group_name_Hall 'P 1'
_cell_length_a 3.822
_cell_length_b 3.822
_cell_length_c 11.937
_cell_angle_alpha 90.00
_cell_angle_beta 90.00
_cell_angle_gamma 90.00
loop_
_atom_site_label
_atom_site_type_symbol
_atom_site_fract_x
_atom_site_fract_y
_atom_site_fract_z
_atom_site_occupancy
Ca1 Ca 0.000 0.000 0.000 1
Ca2 Ca 0.000 0.000 0.350 1
Ca3 Ca 0.000 0.000 0.650 1
Mg1 Mg 0.500 0.500 0.174 1
Mg2 Mg 0.500 0.500 0.826 1
Ag1 Ag 0.500 0.500 0.500 1
# **Calculated density**: 2.635 g cm⁻³
# **Symmetry**: No. 123
# **E_tot**: -13.00 eV/cell
# **Calculated volume**: 174.40 Å³/cell

***

| no. | formation enthalpy at 0 K (meV per atom) |
| --- | --- |
| 1 | 62 |
| 2 | -195 |
| 3 | -159 |